The following is a GGA-PBE calculation of an optimized crystal structure of YLu2Pu, from Alexandria.

Lattice parameters (Å, degrees): 4.894 4.921 4.921 90.00 90.00 90.00
Fractional coordinates of all 4 atoms:
Lu1 0.000 0.000 0.500
Lu2 0.000 0.500 0.000
Pu1 0.500 0.000 0.000
Y1 0.500 0.500 0.500

Values from the calculation:
The formation enthalpy at 0 K is 0.142 eV/atom. As for the density of states at the Fermi level: 15.65 states/eV/f.u. The crystal system is tetragonal.